Compound: Ni2HgTeO6
Source: the Alexandria database
Functional: PBE+U
Structure: relaxed

abc: 5.3609 5.3624 5.7231
angles: 62.05 62.11 59.99
With the nearest neighbours (Å) after each atom.
Element x y z (fractional)
Ni 0.5252 0.5250 0.4248  6 O 2.09-2.20
Ni 0.0087 0.0088 0.9738  6 O 2.06-2.16
Hg 0.7862 0.7866 0.6407  3 O 2.22
Te 0.3224 0.3225 0.0326  6 O 1.95-2.00
O 0.5846 0.2523 0.2227  1 Te 1.95, 2 Ni 2.09-2.16
O 0.2529 0.9404 0.2223  1 Te 1.95, 2 Ni 2.09-2.15
O 0.9406 0.5842 0.2224  1 Te 1.95, 2 Ni 2.09-2.16
O 0.3628 0.7159 0.7587  1 Te 2.00, 2 Ni 2.06-2.20, 1 Hg 2.22
O 0.7156 0.1628 0.7586  1 Te 2.00, 2 Ni 2.06-2.20, 1 Hg 2.22
O 0.1625 0.3631 0.7585  1 Te 2.00, 2 Ni 2.06-2.20, 1 Hg 2.22

M_tot = 3.989 Bohr magnetons per cell
Raw total energy = -4.724 eV per atom

---

Compound: UNiHg2O6
Source: the Alexandria database
Functional: PBE+U
Structure: relaxed

abc: 5.3654 5.7997 9.1813
angles: 90.00 89.65 90.00
With the nearest neighbours (Å) after each atom.
Element x y z (fractional)
U 0.5000 0.0000 0.5000  6 O 2.00-2.17
U 0.0000 0.5000 0.0000  6 O 2.00-2.17
Ni 0.5000 0.0000 0.0000  4 O 2.00
Ni 0.0000 0.5000 0.5000  4 O 2.00
Hg 0.0415 0.0000 0.2328  3 O 2.17-2.34
Hg 0.5415 0.5000 0.7328  3 O 2.17-2.34
Hg 0.9585 0.0000 0.7672  3 O 2.17-2.34
Hg 0.4585 0.5000 0.2672  3 O 2.17-2.34
O 0.2618 0.7609 0.0724  1 Ni 2.00, 1 U 2.17
O 0.7618 0.7391 0.5724  1 Ni 2.00, 1 U 2.17
O 0.7382 0.2391 0.9276  1 Ni 2.00, 1 U 2.17
O 0.2382 0.2609 0.4276  1 Ni 2.00, 1 U 2.17
O 0.2383 0.7391 0.4276  1 Ni 2.00, 1 U 2.17
O 0.7383 0.7609 0.9276  1 Ni 2.00, 1 U 2.17
O 0.7617 0.2609 0.5724  1 Ni 2.00, 1 U 2.17
O 0.2617 0.2391 0.0724  1 Ni 2.00, 1 U 2.17
O 0.8472 0.5000 0.1987  1 U 2.00, 1 Hg 2.17
O 0.3472 0.0000 0.6987  1 U 2.00, 1 Hg 2.17
O 0.1528 0.5000 0.8013  1 U 2.00, 1 Hg 2.17
O 0.6528 0.0000 0.3013  1 U 2.00, 1 Hg 2.17

M_tot = 3.972 Bohr magnetons per cell
Raw total energy = -5.860 eV per atom

---

Compound: ZrNiHg2O
Source: the Alexandria database
Functional: PBE+U
Structure: relaxed

abc: 4.7578 4.6790 4.7578
angles: 90.00 90.00 90.00
With the nearest neighbours (Å) after each atom.
Element x y z (fractional)
O 0.5000 0.5000 0.5000  8 Hg 3.34, 4 Zr 3.36
Ni 0.0000 0.0000 0.0000  2 Zr 2.34, 4 Hg 2.38
Hg 0.0000 0.0000 0.5000  2 Ni 2.38
Hg 0.5000 0.0000 0.0000  2 Ni 2.38
Zr 0.0000 0.5000 0.0000  2 Ni 2.34

M_tot = 0.000 Bohr magnetons per cell
Raw total energy = -2.697 eV per atom